First-principles (GGA+U) data for a geometry-optimized Li2CrO4 structure, as listed in the Alexandria database.

Unit cell a=5.106 b=5.340 c=7.919 alpha=85.80 beta=71.31 gamma=65.96
Atoms (fractional coordinates):
Li 0.000 0.000 0.000
Li 0.037 0.500 0.949
Li 0.289 0.543 0.531
Li 0.956 0.560 0.312
Cr 0.359 0.994 0.251
Cr 0.691 0.537 0.742
O 0.168 0.203 0.122
O 0.204 0.772 0.333
O 0.330 0.192 0.411
O 0.335 0.667 0.880
O 0.689 0.473 0.538
O 0.732 0.814 0.142
O 0.864 0.743 0.725
O 0.890 0.265 0.833

Theoretical density, g/cm³: 2.31
Calculated total energy, eV/atom: -6.095
DOS at the Fermi energy, states/eV/cell: 0.000